A relaxed LiYPaGa crystal. Source: Alexandria via LeMat-Bulk, functional PBE-GGA.

## Properties
Crystal system: cubic
Energy (eV for the cell shown): -20.81
DOS at the Fermi energy (states/eV per cell): 4.79
Total moment (μB per formula unit): 0.00
Symmetry: F-43m (216)

a = 5.0340 Å, b = 5.0340 Å, c = 5.0340 Å
α = 60.00°, β = 60.00°, γ = 60.00°
Last column: nearest neighbours and their distance in Å.
Positions (direct):
Y 0.0000 0.0000 0.0000  4 Li 3.08, 4 Ga 3.08
Pa 0.5000 0.5000 0.5000  4 Li 3.08, 4 Ga 3.08
Ga 0.2500 0.2500 0.2500  4 Pa 3.08, 4 Y 3.08
Li 0.7500 0.7500 0.7500  4 Pa 3.08, 4 Y 3.08